Entry 1:
Entry from Alexandria via LeMat-Bulk: crystalline FeBr4N2 at its relaxed geometry (PBE).

Values from the calculation:
- energy relative to the elements, uncorrected (eV per atom) = 0.5892
- Fermi-level density of states (states/eV per cell) = 3.53
- space-group type = P-1, No. 2
- theoretical density (g cm⁻³) = 3.90

```
7
Lattice="3.801 0.000 0.000 1.549 6.922 0.000 1.626 3.142 6.531" Properties=species:S:1:pos:R:3 pbc="T T T"
Fe 0.000 0.000 0.000
Br 1.617 3.964 1.572
Br 3.451 7.173 1.796
Br 3.526 2.891 4.735
Br 5.359 6.099 4.959
N 1.541 5.119 0.231
N 5.435 4.945 6.300
```

Entry 2:
Entry from Alexandria via LeMat-Bulk: crystalline SrZrH3 at its relaxed geometry (PBE).

Values from the calculation:
- energy above the most stable polymorph in this dataset (meV per atom) = 0
- Fermi-level density of states (states/eV per cell) = 3.15
- space-group type = Pm-3m, No. 221
- theoretical density (g cm⁻³) = 4.36

```
5
Lattice="4.105 0.000 0.000 0.000 4.105 0.000 0.000 0.000 4.105" Properties=species:S:1:pos:R:3 pbc="T T T"
Sr 0.000 0.000 0.000
Zr 2.053 2.053 2.053
H 0.000 2.053 2.053
H 2.053 0.000 2.053
H 2.053 2.053 0.000
```

Entry 3:
Entry from Alexandria via LeMat-Bulk: crystalline TlHgF3 at its relaxed geometry (PBE).

Values from the calculation:
- energy relative to the elements, uncorrected (eV per atom) = -1.4990
- Fermi-level density of states (states/eV per cell) = 3.33
- space-group type = C2/m, No. 12
- theoretical density (g cm⁻³) = 7.71

```
10
Lattice="5.846 -2.333 0.000 5.846 2.333 0.000 -0.845 0.000 7.292" Properties=species:S:1:pos:R:3 pbc="T T T"
Tl 1.246 0.000 2.982
Tl 9.601 0.000 4.310
Hg 4.593 0.000 0.340
Hg 6.254 0.000 6.952
F 0.114 0.000 5.085
F 2.485 0.000 0.864
F 3.445 0.000 4.241
F 7.402 0.000 3.051
F 8.361 0.000 6.428
F 10.732 0.000 2.207
```